1.
VASP calculation (PBE) on a relaxed HoAlNi4 crystal.

Volume (Å³/atom): 14.1
ΔH_f (0 K) (meV/atom): -371
VASP energy (eV/atom): -5.612
ρ (Mg/m³): 8.4

Lattice parameters (Å, degrees): 3.8175 15.2511 5.8254 90.00 90.00 90.00
Space group Cmcm (No. 63)
Inequivalent atoms, fractional coordinates:
Ho: 0.0000 0.0998 0.2500 [4 per cell]
Al: 0.0000 0.2311 0.7500 [4 per cell]
Ni: 0.0000 0.0774 0.7500 [4 per cell]
Ni: 0.0000 0.3349 0.0486 [8 per cell]
Ni: 0.0000 0.5000 0.0000 [4 per cell]

---

2.
VASP calculation (PBE) on a relaxed HoAl2Ni6 crystal.

Volume (Å³/atom): 13.5
ΔH_f (0 K) (meV/atom): -222
VASP energy (eV/atom): -5.416
ρ (Mg/m³): 7.8

Lattice parameters (Å, degrees): 2.8441 6.7985 12.5816 90.00 90.00 90.00
Space group Immm (No. 71)
Inequivalent atoms, fractional coordinates:
Ho: 0.0000 0.0000 0.0000 [2 per cell]
Al: 0.0000 0.5000 0.1452 [4 per cell]
Ni: 0.0000 0.1681 0.5000 [4 per cell]
Ni: 0.0000 0.3128 0.3213 [8 per cell]

---

3.
VASP calculation (PBE) on a relaxed Ho4Al16Ni3 crystal.

Volume (Å³/atom): 17.6
ΔH_f (0 K) (meV/atom): -481
VASP energy (eV/atom): -4.635
ρ (Mg/m³): 5.2

Lattice parameters (Å, degrees): 6.0480 6.0480 11.0641 90.00 90.00 90.00
Space group P4/mmm (No. 123)
Inequivalent atoms, fractional coordinates:
Ho: 0.0000 0.5000 0.1908 [4 per cell]
Al: 0.0000 0.0000 0.1974 [2 per cell]
Al: 0.2210 0.2210 0.0000 [4 per cell]
Al: 0.2456 0.2456 0.3810 [8 per cell]
Al: 0.5000 0.5000 0.2203 [2 per cell]
Ni: 0.0000 0.5000 0.5000 [2 per cell]
Ni: 0.5000 0.5000 0.0000 [1 per cell]

---

4.
VASP calculation (PBE) on a relaxed Ho3AlNi3 crystal.

Volume (Å³/atom): 22.2
ΔH_f (0 K) (meV/atom): -210
VASP energy (eV/atom): -5.184
ρ (Mg/m³): 7.5

Lattice parameters (Å, degrees): 8.2003 8.2003 5.3356 90.00 90.00 120.00
Space group P6_3/m (No. 176)
Inequivalent atoms, fractional coordinates:
Ho: 0.0447 0.3304 0.2500 [6 per cell]
Al: 0.3333 0.6667 0.7500 [2 per cell]
Ni: 0.0453 0.3836 0.7500 [6 per cell]

---

5.
VASP calculation (PBE) on a relaxed HoAlNi2 crystal.

Volume (Å³/atom): 15.6
ΔH_f (0 K) (meV/atom): -437
VASP energy (eV/atom): -5.408
ρ (Mg/m³): 8.3

Lattice parameters (Å, degrees): 3.1650 3.1650 6.2131 90.00 90.00 90.00
Space group P4/mmm (No. 123)
Inequivalent atoms, fractional coordinates:
Ho: 0.0000 0.0000 0.0000 [1 per cell]
Al: 0.0000 0.0000 0.5000 [1 per cell]
Ni: 0.5000 0.5000 0.2950 [2 per cell]

---

6.
VASP calculation (PBE) on a relaxed HoAl2Ni crystal.

Volume (Å³/atom): 17.0
ΔH_f (0 K) (meV/atom): -453
VASP energy (eV/atom): -4.914
ρ (Mg/m³): 6.8

Lattice parameters (Å, degrees): 3.0488 3.0488 7.3039 90.00 90.00 90.00
Space group P4/mmm (No. 123)
Inequivalent atoms, fractional coordinates:
Ho: 0.0000 0.0000 0.0000 [1 per cell]
Al: 0.5000 0.5000 0.3123 [2 per cell]
Ni: 0.0000 0.0000 0.5000 [1 per cell]

---

7.
VASP calculation (PBE) on a relaxed HoAl2Ni crystal.

Volume (Å³/atom): 17.7
ΔH_f (0 K) (meV/atom): -648
VASP energy (eV/atom): -5.109
ρ (Mg/m³): 6.5

Lattice parameters (Å, degrees): 4.0607 10.1213 6.8846 90.00 90.00 90.00
Space group Cmcm (No. 63)
Inequivalent atoms, fractional coordinates:
Ho: 0.0000 0.0612 0.2500 [4 per cell]
Al: 0.0000 0.3433 0.0544 [8 per cell]
Ni: 0.0000 0.2156 0.7500 [4 per cell]

---

8.
VASP calculation (PBE) on a relaxed HoAl3Ni2 crystal.

Volume (Å³/atom): 16.3
ΔH_f (0 K) (meV/atom): -593
VASP energy (eV/atom): -5.154
ρ (Mg/m³): 6.2

Lattice parameters (Å, degrees): 15.9484 3.9912 9.6905 90.00 108.23 90.00
Space group C2/m (No. 12)
Inequivalent atoms, fractional coordinates:
Ho: 0.0000 0.0000 0.0000 [2 per cell]
Ho: 0.1570 0.0000 0.7041 [4 per cell]
Al: 0.0000 0.5000 0.5000 [2 per cell]
Al: 0.0455 0.0000 0.3469 [4 per cell]
Al: 0.1287 0.5000 0.2035 [4 per cell]
Al: 0.1752 0.5000 0.9658 [4 per cell]
Al: 0.2180 0.0000 0.3957 [4 per cell]
Ni: 0.0243 0.5000 0.7750 [4 per cell]
Ni: 0.1356 0.5000 0.4488 [4 per cell]
Ni: 0.1988 0.0000 0.1315 [4 per cell]

---

9.
VASP calculation (PBE) on a relaxed HoAl2Ni3 crystal.

Volume (Å³/atom): 15.3
ΔH_f (0 K) (meV/atom): -525
VASP energy (eV/atom): -5.426
ρ (Mg/m³): 7.2

Lattice parameters (Å, degrees): 9.3016 7.5730 5.1997 90.00 90.00 90.00
Space group Cmcm (No. 63)
Inequivalent atoms, fractional coordinates:
Ho: 0.0000 0.1795 0.2500 [4 per cell]
Al: 0.2186 0.5000 0.0000 [8 per cell]
Ni: 0.0000 0.4612 0.7500 [4 per cell]
Ni: 0.1545 0.2133 0.7500 [8 per cell]

---

10.
VASP calculation (PBE) on a relaxed HoAlNi2 crystal.

Volume (Å³/atom): 16.7
ΔH_f (0 K) (meV/atom): -573
VASP energy (eV/atom): -5.544
ρ (Mg/m³): 7.7

Lattice parameters (Å, degrees): 4.1491 4.1491 13.4206 90.00 90.00 120.00
Space group R-3m (No. 166, hexagonal axes)
Inequivalent atoms, fractional coordinates:
Ho: 0.0000 0.0000 0.0000 [3 per cell]
Al: 0.0000 0.0000 0.5000 [3 per cell]
Ni: 0.0000 0.0000 0.2036 [6 per cell]

---

11.
VASP calculation (PBE) on a relaxed HoAl3Ni2 crystal.

Volume (Å³/atom): 16.1
ΔH_f (0 K) (meV/atom): -606
VASP energy (eV/atom): -5.167
ρ (Mg/m³): 6.2

Lattice parameters (Å, degrees): 9.5809 7.8699 5.1267 90.00 90.00 90.00
Space group Cmcm (No. 63)
Inequivalent atoms, fractional coordinates:
Ho: 0.0000 0.1522 0.2500 [4 per cell]
Al: 0.0000 0.4580 0.7500 [4 per cell]
Al: 0.1864 0.2220 0.7500 [8 per cell]
Ni: 0.2126 0.5000 0.0000 [8 per cell]

---

12.
VASP calculation (PBE) on a relaxed Ho12AlNi6 crystal.

Volume (Å³/atom): 24.4
ΔH_f (0 K) (meV/atom): -221
VASP energy (eV/atom): -5.134
ρ (Mg/m³): 8.5

Lattice parameters (Å, degrees): 13.6115 13.6115 8.6598 90.00 90.00 120.00
Space group R-3 (No. 148, hexagonal axes)
Inequivalent atoms, fractional coordinates:
Ho: 0.0383 0.2542 0.4281 [18 per cell]
Ho: 0.0596 0.1791 0.8295 [18 per cell]
Al: 0.0000 0.0000 0.5000 [3 per cell]
Ni: 0.0725 0.5011 0.7852 [18 per cell]

---

13.
VASP calculation (PBE) on a relaxed HoAl2Ni crystal.

Volume (Å³/atom): 18.6
ΔH_f (0 K) (meV/atom): -494
VASP energy (eV/atom): -4.956
ρ (Mg/m³): 6.2

Lattice parameters (Å, degrees): 4.1010 4.1010 15.3349 90.00 90.00 120.00
Space group R-3m (No. 166, hexagonal axes)
Inequivalent atoms, fractional coordinates:
Ho: 0.0000 0.0000 0.0000 [3 per cell]
Al: 0.0000 0.0000 0.2077 [6 per cell]
Ni: 0.0000 0.0000 0.5000 [3 per cell]

---

14.
VASP calculation (PBE) on a relaxed Ho2AlNi crystal.

Volume (Å³/atom): 23.1
ΔH_f (0 K) (meV/atom): 269
VASP energy (eV/atom): -4.400
ρ (Mg/m³): 7.5

Lattice parameters (Å, degrees): 3.3022 3.3022 29.3128 90.00 90.00 120.00
Space group R-3m (No. 166, hexagonal axes)
Inequivalent atoms, fractional coordinates:
Ho: 0.0000 0.0000 0.0855 [6 per cell]
Al: 0.0000 0.0000 0.5000 [3 per cell]
Ni: 0.0000 0.0000 0.0000 [3 per cell]

---

15.
VASP calculation (PBE) on a relaxed HoAlNi5 crystal.

Volume (Å³/atom): 13.4
ΔH_f (0 K) (meV/atom): -449
VASP energy (eV/atom): -5.767
ρ (Mg/m³): 8.6

Lattice parameters (Å, degrees): 7.8593 4.7885 9.9744 90.00 90.00 90.00
Space group Pnma (No. 62)
Inequivalent atoms, fractional coordinates:
Ho: 0.2481 0.2500 0.0586 [4 per cell]
Al: 0.1414 0.7500 0.8578 [4 per cell]
Ni: 0.0504 0.7500 0.0921 [4 per cell]
Ni: 0.0657 0.0057 0.3055 [8 per cell]
Ni: 0.0970 0.2500 0.5166 [4 per cell]
Ni: 0.1870 0.2500 0.7505 [4 per cell]

---

16.
VASP calculation (PBE) on a relaxed HoAl3Ni2 crystal.

Volume (Å³/atom): 15.9
ΔH_f (0 K) (meV/atom): -635
VASP energy (eV/atom): -5.197
ρ (Mg/m³): 6.3

Lattice parameters (Å, degrees): 5.2566 5.2566 3.9785 90.00 90.00 120.00
Space group P6/mmm (No. 191)
Inequivalent atoms, fractional coordinates:
Ho: 0.0000 0.0000 0.0000 [1 per cell]
Al: 0.0000 0.5000 0.5000 [3 per cell]
Ni: 0.3333 0.6667 0.0000 [2 per cell]

---

17.
VASP calculation (PBE) on a relaxed HoAl2Ni9 crystal.

Volume (Å³/atom): 12.7
ΔH_f (0 K) (meV/atom): -371
VASP energy (eV/atom): -5.712
ρ (Mg/m³): 8.2

Lattice parameters (Å, degrees): 8.0430 8.0430 4.7060 90.00 90.00 90.00
Space group P4/mbm (No. 127)
Inequivalent atoms, fractional coordinates:
Ho: 0.0000 0.0000 0.0000 [2 per cell]
Al: 0.1207 0.3793 0.0000 [4 per cell]
Ni: 0.0000 0.5000 0.5000 [2 per cell]
Ni: 0.0647 0.2092 0.5000 [8 per cell]
Ni: 0.1775 0.6775 0.2400 [8 per cell]

---

18.
VASP calculation (PBE) on a relaxed HoAlNi4 crystal.

Volume (Å³/atom): 14.2
ΔH_f (0 K) (meV/atom): -471
VASP energy (eV/atom): -5.712
ρ (Mg/m³): 8.3

Lattice parameters (Å, degrees): 5.0376 5.0376 3.8710 90.00 90.00 120.00
Space group P-6m2 (No. 187)
Inequivalent atoms, fractional coordinates:
Ho: 0.0000 0.0000 0.0000 [1 per cell]
Al: 0.3333 0.6667 0.0000 [1 per cell]
Ni: 0.5020 0.0039 0.5000 [3 per cell]
Ni: 0.6667 0.3333 0.0000 [1 per cell]

---

19.
VASP calculation (PBE) on a relaxed HoAl2Ni crystal.

Volume (Å³/atom): 17.6
ΔH_f (0 K) (meV/atom): -622
VASP energy (eV/atom): -5.083
ρ (Mg/m³): 6.5

Lattice parameters (Å, degrees): 15.1004 6.8533 5.4568 90.00 90.00 90.00
Space group Pnma (No. 62)
Inequivalent atoms, fractional coordinates:
Ho: 0.1056 0.2500 0.2346 [4 per cell]
Ho: 0.1389 0.7500 0.0283 [4 per cell]
Al: 0.0405 0.0562 0.7237 [8 per cell]
Al: 0.2117 0.5546 0.5307 [8 per cell]
Ni: 0.0716 0.7500 0.5109 [4 per cell]
Ni: 0.1814 0.2500 0.7632 [4 per cell]

---

20.
VASP calculation (PBE) on a relaxed Ho4Al12Ni crystal.

Volume (Å³/atom): 18.5
ΔH_f (0 K) (meV/atom): -486
VASP energy (eV/atom): -4.545
ρ (Mg/m³): 5.5

Lattice parameters (Å, degrees): 8.5735 8.5735 8.5735 90.00 90.00 90.00
Space group Im-3m (No. 229)
Inequivalent atoms, fractional coordinates:
Ho: 0.2500 0.2500 0.2500 [8 per cell]
Al: 0.0000 0.0000 0.2832 [12 per cell]
Al: 0.0000 0.2500 0.5000 [12 per cell]
Ni: 0.0000 0.0000 0.0000 [2 per cell]